VASP calculation (PBE-GGA) on a relaxed structure of CsBaSn4.

Values from the calculation:
The calculated total energy is -0.2536 Ry per atom. As for the density of states at the Fermi level: 1.1305 states/eV per atom. The total magnetization comes out at 0.0 μB per formula unit.

a = 6.6021 Å, b = 6.6021 Å, c = 6.6021 Å
α = 60.00°, β = 60.00°, γ = 60.00°
Closest atoms and distances in Å follow each position.
Atoms (fractional coordinates):
Sn 0.6241 0.6241 0.1278  6 Sn 3.28-3.33
Sn 0.6241 0.1278 0.6241  6 Sn 3.28-3.33
Sn 0.1278 0.6241 0.6241  6 Sn 3.28-3.33
Sn 0.6241 0.6241 0.6241  6 Sn 3.28-3.33
Ba 0.2500 0.2500 0.2500  12 Sn 3.87, 4 Cs 4.04
Cs 0.0000 0.0000 0.0000  12 Sn 3.87, 4 Ba 4.04